VASP calculation (PBE-GGA) on an optimized crystal structure of Li4TmHg5.

Unit cell a=3.441 b=3.441 c=16.662 alpha=90.00 beta=90.00 gamma=90.00
Last column: magnetic moment on the atom in μB.
Element x y z (fractional)
Li: 0.000 0.000 0.406  0.00
Li: 0.000 0.000 0.785  0.00
Li: 0.000 0.000 0.594  0.00
Li: 0.000 0.000 0.215  0.00
Tm: 0.000 0.000 0.000  0.17
Hg: 0.500 0.500 0.689  0.00
Hg: 0.500 0.500 0.880  0.01
Hg: 0.500 0.500 0.500  0.00
Hg: 0.500 0.500 0.120  0.01
Hg: 0.500 0.500 0.311  0.00

The value obtained for the total moment is 0.22 μB per cell. The formation energy comes out at -0.378 eV per atom. The space group is P4/mmm (123). For the calculated volume, the calculation gives 197 Å³/cell.